DFT (PBE) results for a relaxed Sc3IrPd crystal.

Cell: 4.9680 4.9680 4.9680 Å, 90.00 90.00 90.00°
Last column: nearest neighbours and their distance in Å.
Space group Pm-3m (No. 221)
One atom of each set of equivalent atoms:
Sc 0.0000 0.0000 0.5000 (multiplicity 3)  2 Ir 2.48
Ir 0.0000 0.0000 0.0000 (multiplicity 1)  6 Sc 2.48
Pd 0.5000 0.5000 0.5000 (multiplicity 1)  12 Sc 3.51

Calculated values
- total moment (μB/f.u.) = 0.0
- energy relative to the elements (eV/atom) = -0.25
- ΔE to the lowest computed polymorph (meV per atom) = 0
- final energy (eV per atom) = -6.863

DFT (PBE) results for a relaxed Hf2Be16Al crystal.

Cell: 7.5823 7.5823 11.0696 Å, 90.00 90.00 120.00°
Last column: nearest neighbours and their distance in Å.
Space group R3m (No. 160, hexagonal axes)
One atom of each set of equivalent atoms:
Hf 0.0000 0.0000 0.0000 (multiplicity 3)  19 Be 2.58-2.87
Hf 0.0000 0.0000 0.3170 (multiplicity 3)  18 Be 2.69-2.98, 1 Al 2.74
Be 0.0000 0.0000 0.7669 (multiplicity 3)  6 Be 2.23-2.33, 1 Al 2.24
Be 0.0002 0.2954 0.6610 (multiplicity 18)  8 Be 2.16-2.35
Be 0.0092 0.5046 0.8168 (multiplicity 9)  8 Be 2.16-2.32
Be 0.1680 0.3360 0.8355 (multiplicity 9)  9 Be 2.16-2.35
Be 0.1710 0.3420 0.4935 (multiplicity 9)  9 Be 2.16-2.25, 1 Al 2.38
Al 0.0000 0.0000 0.5645 (multiplicity 3)  13 Be 2.24-2.48

Calculated values
- total moment (μB/f.u.) = 0.0
- energy relative to the elements (eV/atom) = -0.21
- final energy (eV per atom) = -4.591

DFT (PBE) results for a relaxed HfAl2Cu crystal.

Cell: 6.4119 6.4119 6.4119 Å, 90.00 90.00 90.00°
Last column: nearest neighbours and their distance in Å.
Space group Fm-3m (No. 225)
One atom of each set of equivalent atoms:
Hf 0.0000 0.0000 0.0000 (multiplicity 4)  8 Al 2.78
Al 0.2500 0.2500 0.2500 (multiplicity 8)  4 Hf 2.78, 4 Cu 2.78
Cu 0.0000 0.0000 0.5000 (multiplicity 4)  8 Al 2.78

Calculated values
- total moment (μB/f.u.) = 0.0
- energy relative to the elements (eV/atom) = -0.04
- final energy (eV per atom) = -5.419

DFT (PBE) results for a relaxed SrBeW crystal.

Cell: 6.9604 6.9604 6.9604 Å, 90.00 90.00 90.00°
Last column: nearest neighbours and their distance in Å.
Space group F-43m (No. 216)
One atom of each set of equivalent atoms:
Sr 0.0000 0.0000 0.0000 (multiplicity 4)  4 W 3.01, 4 Be 3.01
Be 0.2500 0.2500 0.2500 (multiplicity 4)  4 Sr 3.01
W 0.2500 0.2500 0.7500 (multiplicity 4)  4 Sr 3.01

Calculated values
- total moment (μB/f.u.) = 3.6
- energy relative to the elements (eV/atom) = 2.48
- ΔE to the lowest computed polymorph (meV per atom) = 1665
- final energy (eV per atom) = -3.637

DFT (PBE) results for a relaxed Sc2OsPtC crystal.

Cell: 4.5098 4.5098 3.8708 Å, 90.00 90.00 90.00°
Last column: nearest neighbours and their distance in Å.
Space group P4/mmm (No. 123)
One atom of each set of equivalent atoms:
Sc 0.0000 0.5000 0.0000 (multiplicity 2)  2 C 2.25
Os 0.0000 0.0000 0.5000 (multiplicity 1)  2 C 1.94
Pt 0.5000 0.5000 0.5000 (multiplicity 1)  8 Sc 2.97, 4 Os 3.19
C 0.0000 0.0000 0.0000 (multiplicity 1)  2 Os 1.94

Calculated values
- total moment (μB/f.u.) = 0.0
- energy relative to the elements (eV/atom) = -0.65
- final energy (eV per atom) = -8.486

DFT (PBE) results for a relaxed Th2Be3Si4Rh crystal.

Cell: 4.0743 4.0743 9.6157 Å, 90.00 90.00 90.00°
Last column: nearest neighbours and their distance in Å.
Space group P-4m2 (No. 115)
One atom of each set of equivalent atoms:
Th 0.0000 0.5000 0.2462 (multiplicity 2)  8 Si 3.10-3.12, 6 Be 3.11-3.18, 2 Rh 3.18
Be 0.0000 0.5000 0.8750 (multiplicity 2)  5 Si 2.31-2.37
Be 0.5000 0.5000 0.5000 (multiplicity 1)  4 Si 2.42
Si 0.0000 0.0000 0.0000 (multiplicity 1)  4 Be 2.37
Si 0.0000 0.5000 0.6349 (multiplicity 2)  3 Be 2.31-2.42, 2 Rh 2.42
Si 0.5000 0.5000 0.0000 (multiplicity 1)  4 Be 2.37
Rh 0.0000 0.0000 0.5000 (multiplicity 1)  4 Si 2.42

Calculated values
- total moment (μB/f.u.) = 0.0
- final energy (eV per atom) = -6.064
- ΔE_f (raw) (eV/f.u.) = -5.6

DFT (PBE) results for a relaxed AcMgZn17 crystal.

Cell: 9.1353 9.1353 13.3306 Å, 90.00 90.00 120.00°
Last column: nearest neighbours and their distance in Å.
Space group R3m (No. 160, hexagonal axes)
One atom of each set of equivalent atoms:
Ac 0.0000 0.0000 0.0000 (multiplicity 3)  19 Zn 3.28-3.47
Mg 0.0000 0.0000 0.3004 (multiplicity 3)  13 Zn 3.03-3.39
Zn 0.0000 0.0000 0.5494 (multiplicity 3)  7 Zn 2.71-2.80
Zn 0.0000 0.0000 0.7526 (multiplicity 3)  13 Zn 2.71-2.99
Zn 0.0413 0.3673 0.3274 (multiplicity 18)  8 Zn 2.60-2.82
Zn 0.1691 0.3381 0.1448 (multiplicity 9)  9 Zn 2.63-2.77
Zn 0.1716 0.3431 0.4977 (multiplicity 9)  10 Zn 2.62-2.80
Zn 0.1737 0.3475 0.8412 (multiplicity 9)  8 Zn 2.63-2.82

Calculated values
- total moment (μB/f.u.) = 0.0
- energy relative to the elements (eV/atom) = -0.11
- final energy (eV per atom) = -1.550

DFT (PBE) results for a relaxed CsTl2CdGa crystal.

Cell: 5.8699 5.8699 5.4498 Å, 90.00 90.00 90.00°
Last column: nearest neighbours and their distance in Å.
Space group P4/mmm (No. 123)
One atom of each set of equivalent atoms:
Cs 0.0000 0.0000 0.0000 (multiplicity 1)  8 Tl 4.00, 4 Cd 4.15
Tl 0.0000 0.5000 0.5000 (multiplicity 2)  2 Ga 2.93
Cd 0.5000 0.5000 0.0000 (multiplicity 1)  2 Ga 2.72
Ga 0.5000 0.5000 0.5000 (multiplicity 1)  2 Cd 2.72, 4 Tl 2.93

Calculated values
- total moment (μB/f.u.) = 0.0
- energy relative to the elements (eV/atom) = 0.06
- final energy (eV per atom) = -1.844

DFT (PBE) results for a relaxed Zn2Si2Mo crystal.

Cell: 6.5007 6.5007 3.5619 Å, 90.00 90.00 90.00°
Last column: nearest neighbours and their distance in Å.
Space group P4/mbm (No. 127)
One atom of each set of equivalent atoms:
Zn 0.1686 0.3314 0.0000 (multiplicity 4)  6 Si 2.54-2.66
Si 0.1344 0.6344 0.5000 (multiplicity 4)  1 Si 2.47, 2 Mo 2.53, 6 Zn 2.54-2.66
Mo 0.0000 0.0000 0.5000 (multiplicity 2)  4 Si 2.53

Calculated values
- total moment (μB/f.u.) = 0.0
- final energy (eV per atom) = -4.700
- ΔE_f (raw) (eV/f.u.) = 0.7

DFT (PBE) results for a relaxed Dy4C2OF crystal.

Cell: 6.1073 3.5524 6.1664 Å, 90.00 109.55 90.00°
Last column: nearest neighbours and their distance in Å.
Space group P2/m (No. 10)
One atom of each set of equivalent atoms:
Dy 0.2299 0.0000 0.2353 (multiplicity 2)  3 C 2.42-2.48, 1 O 2.54, 2 F 2.60
Dy 0.2355 0.5000 0.7525 (multiplicity 2)  3 C 2.42-2.48, 2 O 2.54, 1 F 2.59
C 0.0000 0.0000 0.5000 (multiplicity 1)  6 Dy 2.48
C 0.0000 0.5000 0.0000 (multiplicity 1)  6 Dy 2.42
O 0.5000 0.0000 0.0000 (multiplicity 1)  6 Dy 2.54
F 0.5000 0.5000 0.5000 (multiplicity 1)  6 Dy 2.59-2.60

Calculated values
- total moment (μB/f.u.) = 0.0
- final energy (eV per atom) = -7.117
- ΔE_f (raw) (eV/f.u.) = -13.2

DFT (PBE) results for a relaxed UCo5GeP2 crystal.

Cell: 3.6966 3.6966 9.4595 Å, 90.00 90.00 90.00°
Last column: nearest neighbours and their distance in Å.
Space group P4/mmm (No. 123)
One atom of each set of equivalent atoms:
U 0.0000 0.0000 0.0000 (multiplicity 1)  4 Co 2.61
Co 0.0000 0.5000 0.3432 (multiplicity 4)  2 P 2.16, 2 Ge 2.37
Co 0.5000 0.5000 0.0000 (multiplicity 1)  2 P 2.14
Ge 0.0000 0.0000 0.5000 (multiplicity 1)  8 Co 2.37
P 0.5000 0.5000 0.2259 (multiplicity 2)  5 Co 2.14-2.16

Calculated values
- total moment (μB/f.u.) = 1.8
- energy relative to the elements (eV/atom) = -0.36
- final energy (eV per atom) = -7.280

DFT (PBE) results for a relaxed CsSi2SbO8 crystal.

Cell: 8.5590 5.4921 8.9066 Å, 90.00 93.47 90.00°
Last column: nearest neighbours and their distance in Å.
Space group C2/m (No. 12)
One atom of each set of equivalent atoms:
Cs 0.0000 0.0000 0.0000 (multiplicity 2)  10 O 3.14-3.38
Si 0.1306 0.5000 0.3280 (multiplicity 4)  4 O 1.62-1.65
Sb 0.0000 0.0000 0.5000 (multiplicity 2)  6 O 1.96-2.01
O 0.0218 0.2542 0.3409 (multiplicity 8)  1 Si 1.65
O 0.1780 0.5000 0.1521 (multiplicity 4)  1 Si 1.64
O 0.2266 0.0000 0.5439 (multiplicity 4)  1 Si 1.62

Calculated values
- total moment (μB/f.u.) = 2.0
- final energy (eV per atom) = -6.456
- ΔE_f (raw) (eV/f.u.) = -22.0

DFT (PBE) results for a relaxed YbO crystal.

Cell: 4.8500 4.8500 4.8500 Å, 90.00 90.00 90.00°
Last column: nearest neighbours and their distance in Å.
Space group Fm-3m (No. 225)
One atom of each set of equivalent atoms:
Yb 0.0000 0.0000 0.0000 (multiplicity 4)  6 O 2.43
O 0.0000 0.0000 0.5000 (multiplicity 4)  6 Yb 2.43

Calculated values
- total moment (μB/f.u.) = 0.2
- final energy (eV per atom) = -6.130
- ΔE_f (raw) (eV/f.u.) = -5.8

DFT (PBE) results for a relaxed PtCl3O crystal.

Cell: 4.4683 4.4683 4.4683 Å, 90.00 90.00 90.00°
Last column: nearest neighbours and their distance in Å.
Space group Pm-3m (No. 221)
One atom of each set of equivalent atoms:
Pt 0.0000 0.0000 0.0000 (multiplicity 1)  12 Cl 3.16
Cl 0.0000 0.5000 0.5000 (multiplicity 3)  2 O 2.23
O 0.5000 0.5000 0.5000 (multiplicity 1)  6 Cl 2.23

Calculated values
- total moment (μB/f.u.) = 1.3
- ΔE to the lowest computed polymorph (meV per atom) = 1403
- final energy (eV per atom) = -2.213
- ΔE_f (raw) (eV/f.u.) = 5.5

DFT (PBE) results for a relaxed TmNpCuOs crystal.

Cell: 6.7963 6.7963 6.7963 Å, 90.00 90.00 90.00°
Last column: nearest neighbours and their distance in Å.
Space group F-43m (No. 216)
One atom of each set of equivalent atoms:
Tm 0.0000 0.0000 0.0000 (multiplicity 4)  4 Os 2.94, 4 Cu 2.94
Np 0.0000 0.0000 0.5000 (multiplicity 4)  4 Os 2.94, 4 Cu 2.94
Cu 0.2500 0.2500 0.7500 (multiplicity 4)  4 Tm 2.94, 4 Np 2.94
Os 0.2500 0.2500 0.2500 (multiplicity 4)  4 Tm 2.94, 4 Np 2.94

Calculated values
- total moment (μB/f.u.) = 3.9
- energy relative to the elements (eV/atom) = 0.03
- final energy (eV per atom) = -8.151

DFT (PBE) results for a relaxed BaCdS2N crystal.

Cell: 5.9599 5.9599 5.2029 Å, 90.00 90.00 90.00°
Last column: nearest neighbours and their distance in Å.
Space group P4/mmm (No. 123)
One atom of each set of equivalent atoms:
Ba 0.0000 0.0000 0.0000 (multiplicity 1)  2 N 2.60
Cd 0.5000 0.5000 0.5000 (multiplicity 1)  8 S 3.96, 4 N 4.21
S 0.0000 0.5000 0.0000 (multiplicity 2)  2 Ba 2.98
N 0.0000 0.0000 0.5000 (multiplicity 1)  2 Ba 2.60

Calculated values
- total moment (μB/f.u.) = 3.5
- ΔE to the lowest computed polymorph (meV per atom) = 944
- final energy (eV per atom) = -3.022
- ΔE_f (raw) (eV/f.u.) = 4.3

DFT (PBE) results for a relaxed Li6Mg12Ag crystal.

Cell: 13.5193 13.5193 7.5465 Å, 90.00 90.00 120.00°
Last column: nearest neighbours and their distance in Å.
Space group R-3 (No. 148, hexagonal axes)
One atom of each set of equivalent atoms:
Li 0.0342 0.2813 0.3380 (multiplicity 18)  9 Mg 3.06-3.13, 3 Li 3.07-3.13
Mg 0.0158 0.1400 0.6686 (multiplicity 18)  7 Mg 3.05-3.12, 4 Li 3.08-3.13, 1 Ag 3.08
Mg 0.0707 0.5605 0.6684 (multiplicity 18)  6 Mg 3.05-3.12, 5 Li 3.06-3.13, 1 Ag 3.09
Ag 0.0000 0.0000 0.0000 (multiplicity 3)  12 Mg 3.08-3.09

Calculated values
- total moment (μB/f.u.) = 0.0
- energy relative to the elements (eV/atom) = -0.05
- final energy (eV per atom) = -1.810

DFT (PBE) results for a relaxed ZrTeAs2 crystal.

Cell: 9.6805 3.6444 5.3118 Å, 90.00 94.13 90.00°
Last column: nearest neighbours and their distance in Å.
Space group C2/m (No. 12)
One atom of each set of equivalent atoms:
Zr 0.0000 0.0000 0.0000 (multiplicity 2)  6 As 2.87-2.94
Te 0.0000 0.5000 0.5000 (multiplicity 2)  2 As 2.85
As 0.2164 0.5000 0.1645 (multiplicity 4)  2 As 2.64, 1 Te 2.85, 3 Zr 2.87-2.94

Calculated values
- total moment (μB/f.u.) = 0.0
- final energy (eV per atom) = -5.594
- ΔE_f (raw) (eV/f.u.) = -1.4

DFT (PBE) results for a relaxed Zn2CrSe crystal.

Cell: 5.2417 5.3481 5.1608 Å, 90.00 90.00 90.00°
Last column: nearest neighbours and their distance in Å.
Space group Cmmm (No. 65)
One atom of each set of equivalent atoms:
Zn 0.2470 0.0000 0.0000 (multiplicity 4)  4 Zn 2.59-2.67, 2 Cr 2.89
Cr 0.0000 0.0000 0.5000 (multiplicity 2)  4 Se 2.62-2.67, 4 Zn 2.89
Se 0.0000 0.5000 0.5000 (multiplicity 2)  4 Cr 2.62-2.67, 4 Zn 2.90

Calculated values
- total moment (μB/f.u.) = 4.0
- final energy (eV per atom) = -3.790
- ΔE_f (raw) (eV/f.u.) = 0.5

DFT (PBE) results for a relaxed NdHoTlNi crystal.

Cell: 7.3452 7.3452 7.3452 Å, 90.00 90.00 90.00°
Last column: nearest neighbours and their distance in Å.
Space group F-43m (No. 216)
One atom of each set of equivalent atoms:
Nd 0.0000 0.0000 0.0000 (multiplicity 4)  4 Ni 3.18, 4 Tl 3.18
Ho 0.0000 0.0000 0.5000 (multiplicity 4)  4 Tl 3.18, 4 Ni 3.18
Tl 0.2500 0.2500 0.7500 (multiplicity 4)  4 Ho 3.18, 4 Nd 3.18
Ni 0.2500 0.2500 0.2500 (multiplicity 4)  4 Ho 3.18, 4 Nd 3.18

Calculated values
- total moment (μB/f.u.) = 0.0
- energy relative to the elements (eV/atom) = -0.21
- final energy (eV per atom) = -4.579